Material: NdSc7Cd4
Method: DFT, PBE
State: optimized geometry

Computed properties:
Calculated formation energy   0.04 eV/atom
Total moment   0.4 μB/cell
E   -4.359 eV/atom
Crystal system   monoclinic

Cell: 5.3480 8.5336 7.5208 Å, 69.28 69.17 71.74°
With the nearest neighbours (Å) after each atom.
Fractional coordinates of all 12 atoms:
Nd1 0.0000 0.0000 0.0000  2 Sc 2.67
Sc1 0.7903 0.8815 0.5379  3 Cd 3.12-3.33, 5 Sc 3.25-3.46
Sc2 0.2097 0.1185 0.4621  3 Cd 3.12-3.33, 5 Sc 3.25-3.46
Sc3 0.0736 0.5767 0.2762  3 Cd 2.95-3.05, 1 Sc 3.05
Sc4 0.9264 0.4233 0.7238  3 Cd 2.95-3.05, 1 Sc 3.05
Sc5 0.2599 0.6965 0.7837  4 Cd 2.81-2.98
Sc6 0.5000 0.0000 0.0000  2 Nd 2.67, 2 Cd 2.81
Sc7 0.7401 0.3035 0.2163  4 Cd 2.81-2.98
Cd1 0.5457 0.2876 0.6210  4 Sc 2.81-3.05, 1 Cd 2.97
Cd2 0.4543 0.7124 0.3790  4 Sc 2.81-3.05, 1 Cd 2.97
Cd3 0.6815 0.6596 0.9774  6 Sc 2.81-3.12, 1 Cd 2.97
Cd4 0.3185 0.3404 0.0226  6 Sc 2.81-3.12, 1 Cd 2.97